Entry 1:
A relaxed structure of ZrAg2Pt2. Source: the Alexandria database, functional PBE.

Unit cell a=7.7110 b=7.7110 c=3.0271 alpha=90.00 beta=90.00 gamma=90.00
Space group P4/mbm (No. 127)
One atom of each set of equivalent atoms:
Zr1 0.0000 0.0000 0.0000 (multiplicity 2)
Ag1 0.1233 0.3767 0.0000 (multiplicity 4)
Pt1 0.1754 0.6754 0.5000 (multiplicity 4)

Calculated values
total DFT energy (no corrections): -5.3925 eV per atom
DOS at the Fermi energy: 0.61 states/eV per atom
crystal system: tetragonal
E above lowest polymorph: 0.103 eV per atom


Entry 2:
A relaxed structure of YAl2Os2. Source: the Alexandria database, functional PBE.

Unit cell a=7.5471 b=7.5471 c=2.9301 alpha=90.00 beta=90.00 gamma=90.00
Space group P4/mbm (No. 127)
One atom of each set of equivalent atoms:
Y1 0.0000 0.0000 0.0000 (multiplicity 2)
Al1 0.1430 0.3570 0.5000 (multiplicity 4)
Os1 0.1492 0.6492 0.0000 (multiplicity 4)

Calculated values
total DFT energy (no corrections): -7.5499 eV per atom
DOS at the Fermi energy: 0.43 states/eV per atom
crystal system: tetragonal
E above lowest polymorph: 0.064 eV per atom


no.,formation enthalpy at 0 K (eV/atom)
1,-0.126
2,-0.268